(1)
! Mg5CdPt, optimized geometry, DFT PBE; values from VASP
! * M_tot: 0.00 Bohr magnetons per cell
! * space group: No. 15
! * energy of formation: -0.3491 eV/atom
! * D(E_F): 0.66 states/eV/atom
&SYSTEM
  ibrav = 0, nat = 14, ntyp = 3
/
ATOMIC_SPECIES
Mg 24.30 Mg.upf
Cd 112.41 Cd.upf
Pt 195.08 Pt.upf
ATOMIC_POSITIONS crystal
Mg 0.4998 0.0003 0.3971
Mg 0.0010 0.4997 0.6029
Mg 0.0003 0.4998 0.8971
Mg 0.9998 0.0002 0.2500
Mg 0.5003 0.9990 0.8971
Mg 0.4997 0.0010 0.1029
Mg 0.0002 0.9998 0.7500
Mg 0.9997 0.5002 0.1029
Mg 0.9990 0.5003 0.3971
Mg 0.5002 0.9997 0.6029
Cd 0.4994 0.5006 0.2500
Cd 0.5006 0.4994 0.7500
Pt 0.0000 0.0000 0.0000
Pt 0.0000 0.0000 0.5000
CELL_PARAMETERS angstrom
-3.6578 -2.7444 -0.0589
2.7197 -3.6465 0.4701
-1.0171 1.0095 13.9849

(2)
! LaTbTmPu, optimized geometry, DFT PBE; values from VASP
! * M_tot: 7.55 Bohr magnetons per cell
! * space group: No. 216
! * energy of formation: 0.1994 eV/atom
! * D(E_F): 3.16 states/eV/atom
&SYSTEM
  ibrav = 0, nat = 4, ntyp = 4
/
ATOMIC_SPECIES
Tm 168.93 Tm.upf
Tb 158.93 Tb.upf
La 138.91 La.upf
Pu 244.00 Pu.upf
ATOMIC_POSITIONS crystal
Tm 0.0000 0.0000 0.0000
Tb 0.7500 0.7500 0.7500
La 0.2500 0.2500 0.2500
Pu 0.5000 0.5000 0.5000
CELL_PARAMETERS angstrom
-2.0871 -4.5409 -2.6077
3.2381 -2.9493 -3.5485
1.7924 -5.1477 1.4367

(3)
! TiH, optimized geometry, DFT PBE; values from VASP
! * M_tot: 0.00 Bohr magnetons per cell
! * space group: No. 87
! * E_tot: -0.215 Ha/atom
! * D(E_F): 0.59 states/eV/atom
&SYSTEM
  ibrav = 0, nat = 16, ntyp = 2
/
ATOMIC_SPECIES
Ti 47.87 Ti.upf
H 1.01 H.upf
ATOMIC_POSITIONS crystal
Ti 0.4349 0.2280 0.0000
Ti 0.5651 0.7720 0.0000
Ti 0.7720 0.4349 0.0000
Ti 0.2280 0.5651 0.0000
Ti 0.9349 0.7280 0.5000
Ti 0.0651 0.2720 0.5000
Ti 0.2720 0.9349 0.5000
Ti 0.7280 0.0651 0.5000
H 0.3216 0.8026 0.0000
H 0.6784 0.1974 0.0000
H 0.1974 0.3216 0.0000
H 0.8026 0.6784 0.0000
H 0.8216 0.3026 0.5000
H 0.1784 0.6974 0.5000
H 0.6974 0.8216 0.5000
H 0.3026 0.1784 0.5000
CELL_PARAMETERS angstrom
-6.6060 -2.7963 -1.7853
3.0591 -6.6735 -0.8667
-0.5336 -0.6290 2.9598

(4)
! ThUTlO6, optimized geometry, DFT PBE; values from VASP
! * M_tot: 1.48 Bohr magnetons per cell
! * space group: No. 74
! * D(E_F): 1.05 states/eV/atom
! * formation energy (no corrections): -2.619 eV/atom
&SYSTEM
  ibrav = 0, nat = 18, ntyp = 4
/
ATOMIC_SPECIES
Th 232.04 Th.upf
U 238.03 U.upf
Tl 204.38 Tl.upf
O 16.00 O.upf
ATOMIC_POSITIONS crystal
Th 0.5000 0.0000 0.5000
Th 0.0000 0.0000 0.5000
U 0.5000 0.5000 0.0000
U 0.5000 0.0000 0.0000
Tl 0.9588 0.7088 0.9177
Tl 0.0412 0.2912 0.0823
O 0.4475 0.6975 0.8949
O 0.8324 0.0824 0.6649
O 0.7908 0.0525 0.2254
O 0.4346 0.6729 0.2254
O 0.4346 0.0525 0.2254
O 0.7908 0.6729 0.2254
O 0.5525 0.3025 0.1051
O 0.1676 0.9176 0.3351
O 0.2092 0.9475 0.7746
O 0.5654 0.3271 0.7746
O 0.5654 0.9475 0.7746
O 0.2092 0.3271 0.7746
CELL_PARAMETERS angstrom
8.1907 0.0000 0.0000
0.0000 8.1744 0.0000
-4.0954 -4.0872 5.9062